Entry 1:
This record from Alexandria describes a relaxed structure of Cs2SrAgBr6. The functional is PBE.

Geometry as extended XYZ:
```
10
Lattice="5.857 0.000 0.000 0.000 5.857 0.000 0.000 0.000 11.342" Properties=species:S:1:pos:R:3 pbc="T T T"
Cs 0.000 0.000 2.578
Cs 0.000 0.000 8.764
Sr 2.928 2.928 5.671
Ag 2.928 2.928 0.000
Br 0.000 2.928 0.000
Br 0.000 2.928 5.671
Br 2.928 0.000 0.000
Br 2.928 0.000 5.671
Br 2.928 2.928 2.618
Br 2.928 2.928 8.724
```

Summary:
The formation energy without anion corrections comes out at -1411 meV/atom. The uncorrected energy is -30.384 eV per cell.

---

Entry 2:
This record from Alexandria describes a relaxed structure of SrAcDyMg. The functional is PBE.

Geometry as extended XYZ:
```
4
Lattice="0.000 4.199 4.199 4.199 0.000 4.199 4.199 4.199 0.000" Properties=species:S:1:pos:R:3 pbc="T T T"
Sr 0.000 0.000 0.000
Ac 2.100 2.100 2.100
Dy 4.199 4.199 4.199
Mg 6.299 6.299 6.299
```

Summary:
The formation energy from the elements is 0.180 eV/atom. The uncorrected energy is -11.267 eV per cell.

---

Entry 3:
This record from Alexandria describes a relaxed structure of BeBiTeI2. The functional is PBE.

Geometry as extended XYZ:
```
5
Lattice="5.108 0.000 0.000 0.000 5.108 0.000 0.000 0.000 5.493" Properties=species:S:1:pos:R:3 pbc="T T T"
Be 0.000 0.000 0.000
Bi 2.554 2.554 2.747
Te 0.000 0.000 2.747
I 0.000 2.554 0.000
I 2.554 0.000 0.000
```

Summary:
The energy above the lowest structure with this stoichiometry comes out at 0.000 eV/atom. The formation energy without anion corrections comes out at 190 meV/atom. The uncorrected energy is -12.900 eV per cell.

---

Entry 4:
This record from Alexandria describes a relaxed structure of ReTcSb2. The functional is PBE.

Geometry as extended XYZ:
```
4
Lattice="1.586 0.916 8.338 -1.586 0.916 8.338 0.000 -1.832 8.338" Properties=species:S:1:pos:R:3 pbc="T T T"
Re 0.000 0.000 0.000
Tc 0.000 0.000 12.506
Sb 0.000 0.000 6.237
Sb 0.000 0.000 18.776
```

Summary:
The energy above the lowest structure with this stoichiometry comes out at 0.358 eV/atom. The formation energy without anion corrections comes out at 498 meV/atom. The uncorrected energy is -29.066 eV per cell.

---

Entry 5:
This record from Alexandria describes a relaxed structure of Mg4Si3. The functional is PBE.

Geometry as extended XYZ:
```
28
Lattice="6.465 0.000 0.000 -2.363 7.386 0.000 -1.433 -1.182 11.537" Properties=species:S:1:pos:R:3 pbc="T T T"
Mg 0.000 0.000 0.000
Mg -2.208 4.112 5.845
Mg -2.603 3.135 11.090
Mg -0.601 0.176 8.844
Mg -0.104 1.207 5.767
Mg -1.061 3.138 8.506
Mg 1.177 0.860 2.844
Mg -0.537 6.216 7.108
Mg 1.164 4.157 2.273
Mg 1.267 3.907 5.638
Mg 0.660 3.877 11.089
Mg 3.334 1.594 0.075
Mg 3.305 1.274 6.172
Mg 4.245 0.131 2.770
Mg 2.582 4.500 8.519
Mg 4.167 4.805 2.174
Si -2.695 6.397 4.333
Si -0.876 2.291 1.408
Si -0.856 2.908 3.770
Si -0.501 1.440 11.388
Si -1.436 5.462 10.049
Si -0.432 5.539 4.215
Si -0.027 6.406 1.076
Si 1.264 2.032 7.831
Si 0.772 6.388 9.501
Si 3.092 2.647 3.792
Si 3.179 1.433 9.104
Si 2.538 6.326 6.444
```

Summary:
The energy above the lowest structure with this stoichiometry comes out at 0.072 eV/atom. The formation energy without anion corrections comes out at 40 meV/atom. The uncorrected energy is -89.476 eV per cell.

---

Entry 6:
This record from Alexandria describes a relaxed structure of YCuI2. The functional is PBE.

Geometry as extended XYZ:
```
4
Lattice="0.000 3.769 3.769 3.769 0.000 3.769 3.769 3.769 0.000" Properties=species:S:1:pos:R:3 pbc="T T T"
Y 0.000 0.000 0.000
Cu 3.769 3.769 3.769
I 1.885 1.885 1.885
I 5.654 5.654 5.654
```

Summary:
The energy above the lowest structure with this stoichiometry comes out at 0.000 eV/atom. The formation energy without anion corrections comes out at -289 meV/atom. The uncorrected energy is -14.816 eV per cell.

---

Entry 7:
This record from Alexandria describes a relaxed structure of CuTeBr. The functional is PBE.

Geometry as extended XYZ:
```
3
Lattice="3.617 0.000 0.000 -1.807 3.629 0.000 -1.772 -0.994 6.070" Properties=species:S:1:pos:R:3 pbc="T T T"
Cu 0.000 0.000 0.000
Te -1.772 1.306 4.731
Br 1.810 0.136 1.689
```

Summary:
The formation energy without anion corrections comes out at -83 meV/atom. The uncorrected energy is -9.160 eV per cell.

---

Entry 8:
This record from Alexandria describes a relaxed structure of BeZnPb2. The functional is PBE.

Geometry as extended XYZ:
```
4
Lattice="3.421 0.000 0.000 0.000 3.982 0.000 -1.698 0.000 6.724" Properties=species:S:1:pos:R:3 pbc="T T T"
Be 0.000 0.000 0.000
Zn 0.862 0.000 3.362
Pb -0.644 1.991 5.175
Pb 2.368 1.991 1.549
```

Summary:
The energy above the lowest structure with this stoichiometry comes out at 0.252 eV/atom. The formation energy from the elements is 0.475 eV/atom. The uncorrected energy is -10.519 eV per cell.

---

- Which of these has the lowest uncorrected energy?
  Mg4Si3

---

- Among the records above, which one has the lowest uncorrected energy?
  Mg4Si3

---

Copy entry 5 word for word.
This record from Alexandria describes a relaxed structure of Mg4Si3. The functional is PBE.

Geometry as extended XYZ:
```
28
Lattice="6.465 0.000 0.000 -2.363 7.386 0.000 -1.433 -1.182 11.537" Properties=species:S:1:pos:R:3 pbc="T T T"
Mg 0.000 0.000 0.000
Mg -2.208 4.112 5.845
Mg -2.603 3.135 11.090
Mg -0.601 0.176 8.844
Mg -0.104 1.207 5.767
Mg -1.061 3.138 8.506
Mg 1.177 0.860 2.844
Mg -0.537 6.216 7.108
Mg 1.164 4.157 2.273
Mg 1.267 3.907 5.638
Mg 0.660 3.877 11.089
Mg 3.334 1.594 0.075
Mg 3.305 1.274 6.172
Mg 4.245 0.131 2.770
Mg 2.582 4.500 8.519
Mg 4.167 4.805 2.174
Si -2.695 6.397 4.333
Si -0.876 2.291 1.408
Si -0.856 2.908 3.770
Si -0.501 1.440 11.388
Si -1.436 5.462 10.049
Si -0.432 5.539 4.215
Si -0.027 6.406 1.076
Si 1.264 2.032 7.831
Si 0.772 6.388 9.501
Si 3.092 2.647 3.792
Si 3.179 1.433 9.104
Si 2.538 6.326 6.444
```

Summary:
The energy above the lowest structure with this stoichiometry comes out at 0.072 eV/atom. The formation energy without anion corrections comes out at 40 meV/atom. The uncorrected energy is -89.476 eV per cell.